1.
NaNpPdO6: relaxed, PBE.

a b c (Å): 5.342 5.342 10.470
angles (deg): 90.00 90.00 120.00
Fractional coordinates of all 18 atoms:
Np  0.333  0.667  0.750
Np  0.667  0.333  0.250
O  0.359  0.360  0.855
O  0.360  0.001  0.145
O  0.640  0.641  0.645
O  0.640  0.999  0.855
O  0.001  0.641  0.855
O  0.641  0.001  0.355
O  0.641  0.640  0.145
O  0.360  0.359  0.355
O  0.999  0.359  0.145
O  0.359  0.999  0.645
O  0.999  0.640  0.355
O  0.001  0.360  0.645
Pd  0.667  0.333  0.750
Pd  0.333  0.667  0.250
Na  0.000  0.000  0.500
Na  0.000  0.000  0.000

* formation energy without anion corrections: -1.6603 eV/atom
* calculated total energy: -128.3 eV for the cell shown
* V: 129.36 Å³/f.u.



2.
Na2Pm2NpO6: relaxed, PBE.

a b c (Å): 6.163 6.163 5.932
angles (deg): 98.86 98.86 120.13
Fractional coordinates of all 11 atoms:
Na  0.837  0.163  0.000
Na  0.163  0.837  0.000
Np  0.000  0.000  0.500
O  0.759  0.759  0.699
O  0.620  0.953  0.300
O  0.380  0.047  0.700
O  0.953  0.620  0.300
O  0.241  0.241  0.301
O  0.047  0.380  0.700
Pm  0.335  0.665  0.500
Pm  0.665  0.335  0.500

* formation energy without anion corrections: -2.6993 eV/atom
* calculated total energy: -84.5 eV for the cell shown
* V: 185.34 Å³/f.u.